Density functional theory data (meta-GGA SCAN) for a crystal of LiRhIO2 relaxed with PBEsol.

a b c (Å): 3.778 3.778 6.052
angles (deg): 90.00 90.00 90.00
Atoms (fractional coordinates):
Li1 0.000 0.000 0.000
Rh1 0.500 0.500 0.500
I1 0.500 0.500 0.000
O1 0.000 0.500 0.500
O2 0.500 0.000 0.500

- Energy relative to the elements, uncorrected: -3.08 eV per formula unit
- DOS at the Fermi energy: 0.623 states/eV/atom